# Gd3ErS PBE-GGA optimized geometry
# Space-group type: No. 221
# Magnetization, μB per cell: 22.70
# Crystal system: cubic
# Total energy, eV per atom: -10.84
data_Gd3ErS
_symmetry_space_group_name_H-M 'P 1'
_symmetry_Int_Tables_number 1
_cell_length_a 5.360
_cell_length_b 5.360
_cell_length_c 5.360
_cell_angle_alpha 90.00
_cell_angle_beta 90.00
_cell_angle_gamma 90.00
loop_
_symmetry_equiv_pos_as_xyz
'x,y,z'
loop_
_atom_site_label
_atom_site_fract_x
_atom_site_fract_y
_atom_site_fract_z
_atom_site_occupancy
Gd1 0.000 0.500 0.000 1
Gd2 0.000 0.000 0.500 1
Gd3 0.500 0.000 0.000 1
S1 0.000 0.000 0.000 1
Er1 0.500 0.500 0.500 1